No. 1
This record from Alexandria describes a relaxed Cd5AgRh2 crystal. The functional is PBE-GGA.

The structure in extended XYZ format:
```
16
Lattice="5.844 0.000 0.000 0.000 11.680 0.000 0.000 0.000 4.277" Properties=species:S:1:pos:R:3 pbc="T T T"
Cd 0.000 0.000 0.000
Cd 0.167 2.967 0.000
Cd 1.320 7.201 2.139
Cd 1.602 1.361 2.139
Cd 2.755 8.807 0.000
Cd 2.922 5.840 0.000
Cd 3.088 2.873 0.000
Cd 4.242 10.319 2.139
Cd 4.524 4.479 2.139
Cd 5.677 8.713 0.000
Ag 0.000 5.840 0.000
Ag 2.922 0.000 0.000
Rh 1.305 10.127 2.139
Rh 1.617 4.287 2.139
Rh 4.227 7.393 2.139
Rh 4.539 1.553 2.139
```

energy relative to the elements = -0.10 eV/atom

No. 2
This record from Alexandria describes a relaxed Cd7Ag2Rh2 crystal. The functional is PBE-GGA.

The structure in extended XYZ format:
```
11
Lattice="-2.224 6.442 3.740 2.224 -6.442 3.740 2.224 6.442 -3.740" Properties=species:S:1:pos:R:3 pbc="T T T"
Cd 0.000 0.000 0.000
Cd 2.224 4.540 -1.198
Cd 2.224 2.011 0.458
Cd 0.000 1.902 2.542
Cd 0.000 4.558 1.100
Cd 0.000 8.326 1.100
Cd 0.000 4.432 4.198
Ag 2.224 0.000 2.586
Ag 0.000 0.000 4.715
Rh 2.224 -3.759 2.660
Rh 2.224 3.759 2.660
```

energy relative to the elements = -0.06 eV/atom

No. 3
This record from Alexandria describes a relaxed Cd4Ag3Rh crystal. The functional is PBE-GGA.

The structure in extended XYZ format:
```
16
Lattice="9.675 0.000 0.000 0.000 6.229 0.000 0.000 0.000 4.946" Properties=species:S:1:pos:R:3 pbc="T T T"
Cd 0.000 1.510 0.000
Cd 0.000 4.720 0.000
Cd 2.419 1.513 1.976
Cd 2.419 4.717 1.976
Cd 4.838 1.510 0.000
Cd 4.838 4.720 0.000
Cd 7.256 1.513 2.970
Cd 7.256 4.717 2.970
Ag 0.000 3.115 2.473
Ag 2.419 0.000 4.378
Ag 2.419 3.115 4.415
Ag 4.838 3.115 2.473
Ag 7.256 0.000 0.567
Ag 7.256 3.115 0.531
Rh 0.000 0.000 2.473
Rh 4.838 0.000 2.473
```

energy relative to the elements = -0.06 eV/atom

No. 4
This record from Alexandria describes a relaxed Cd6Ag3Rh crystal. The functional is PBE-GGA.

The structure in extended XYZ format:
```
20
Lattice="7.392 0.000 0.000 0.000 7.196 0.000 -4.599 0.000 7.876" Properties=species:S:1:pos:R:3 pbc="T T T"
Cd -0.674 1.100 1.966
Cd -2.973 2.498 5.904
Cd -1.007 4.912 4.863
Cd 1.293 5.881 0.925
Cd -1.281 0.100 6.512
Cd 1.019 3.498 2.574
Cd 1.773 3.698 5.302
Cd 4.073 7.095 1.364
Cd 1.499 1.315 6.951
Cd 3.799 2.283 3.013
Cd 5.766 4.698 1.972
Cd 3.466 6.096 5.910
Ag 1.833 1.510 0.707
Ag -0.467 2.088 4.645
Ag 1.396 0.000 3.938
Ag 3.696 3.598 0.000
Ag 3.259 5.108 3.231
Ag 0.959 5.686 7.169
Rh -2.300 0.000 3.938
Rh 0.000 3.598 0.000
```

polymorph energy (0 for the lowest one) = 0.656 eV/f.u.
energy relative to the elements = 0.02 eV/atom